Entry 1:
Entry from Alexandria: a relaxed NaCuBF6 crystal (GGA-PBE).

Results
- E: -4.938 eV per atom
- Formation energy without anion corrections: -2.3470 eV/atom
- Theoretical density: 2.73 g/cm³
- V: 129 Å³/cell

```
NaCuBF6
1.0
5.7948 1.0908 0.4613
3.8680 5.0079 0.4278
0.2870 0.2111 5.2178
B F Cu Na
1 6 1 1
Direct
0.3972 0.3994 0.5100
0.5671 0.1650 0.3338
0.3996 0.8858 0.7441
0.0779 0.5323 0.6099
0.3274 0.6600 0.3734
0.5992 0.2887 0.7151
0.9595 0.3743 0.2100
0.6876 0.6333 0.4769
0.9843 0.0613 0.0267
```

=====

Entry 2:
Entry from Alexandria: a relaxed LiCu2 crystal (GGA-PBE).

Results
- E: -3.408 eV per atom
- Density of states at the Fermi level: 1.17 states/eV/f.u.
- Theoretical density: 6.03 g/cm³
- ΔH_f (0 K): -0.039 eV per atom
- V: 37 Å³/cell

```
LiCu2
1.0
-1.9284 2.9158 2.7833
-2.7156 -1.5548 3.1899
4.1108 0.0039 -1.7518
Cu Li
2 1
Direct
0.6713 0.6713 0.0000
0.3287 0.3287 0.0000
0.0000 0.0000 0.0000
```

=====

Entry 3:
Entry from Alexandria: a relaxed Tb6GeSb2Se3 crystal (GGA-PBE).

Results
- E: -5.711 eV per atom
- Formation energy without anion corrections: -1.4527 eV/atom
- Density of states at the Fermi level: 3.66 states/eV/f.u.
- Theoretical density: 7.80 g/cm³
- V: 321 Å³/cell

```
Tb6GeSb2Se3
1.0
-0.4749 2.6249 -3.2834
-8.3399 0.1552 1.3303
3.2387 5.6886 6.8046
Tb Ge Se Sb
6 1 3 2
Direct
0.0021 0.7647 0.0043
0.3399 0.9268 0.6798
0.9979 0.2353 0.9957
0.6601 0.0732 0.3202
0.3375 0.4107 0.6750
0.6625 0.5893 0.3250
0.5000 0.0000 0.0000
0.1686 0.8346 0.3372
0.5000 0.5000 0.0000
0.8314 0.1654 0.6628
0.8326 0.6653 0.6651
0.1674 0.3347 0.3349
```

=====

Entry 4:
Entry from Alexandria: a relaxed Ca3Al5Te12 crystal (GGA-PBE).

Results
- E: -3.742 eV per atom
- Formation energy without anion corrections: -0.6215 eV/atom
- Density of states at the Fermi level: 17.02 states/eV/f.u.
- Theoretical density: 4.62 g/cm³
- V: 2570 Å³/cell

```
Ca3Al5Te12
1.0
14.9462 0.0000 0.0000
-4.9821 14.0914 0.0000
-4.9821 -7.0457 12.2035
Te Al Ca
48 20 12
Direct
0.4103 0.1190 0.5867
0.0897 0.9133 0.3810
0.2913 0.4103 0.8236
0.0867 0.9103 0.1190
0.4133 0.0323 0.3236
0.6764 0.2087 0.5897
0.5867 0.9677 0.6764
0.0323 0.4133 0.8236
0.3810 0.4133 0.0897
0.3236 0.7913 0.4103
0.9677 0.5867 0.1764
0.3810 0.9677 0.7913
0.7087 0.5897 0.1764
0.9133 0.8236 0.5323
0.8236 0.9133 0.0323
0.6764 0.4677 0.5867
0.0897 0.1764 0.2087
0.4103 0.2913 0.3236
0.8236 0.9103 0.2913
0.1190 0.4103 0.0867
0.8810 0.2913 0.4677
0.5897 0.8810 0.4133
0.2087 0.6764 0.0897
0.1764 0.0867 0.9677
0.7087 0.1190 0.0323
0.0323 0.6190 0.7087
0.9103 0.8236 0.7913
0.9103 0.0867 0.6190
0.5323 0.2087 0.1190
0.4133 0.3810 0.5897
0.1764 0.0897 0.7087
0.3236 0.5323 0.4133
0.4677 0.6764 0.0867
0.0867 0.1764 0.4677
0.7913 0.3236 0.9103
0.2087 0.5323 0.6190
0.5323 0.3236 0.9133
0.8810 0.5897 0.9133
0.2913 0.8810 0.9677
0.5897 0.7087 0.6764
0.7913 0.4677 0.3810
0.9133 0.0897 0.8810
0.9677 0.3810 0.2913
0.6190 0.0323 0.2087
0.6190 0.5867 0.9103
0.4677 0.7913 0.8810
0.5867 0.6190 0.4103
0.1190 0.7087 0.5323
0.5000 0.5000 0.5000
0.1250 0.3750 0.2500
0.3750 0.2500 0.1250
0.8750 0.2500 0.6250
0.2500 0.8750 0.1250
0.3750 0.1250 0.7500
0.8750 0.6250 0.7500
0.1250 0.7500 0.3750
0.5000 0.0000 0.5000
0.7500 0.1250 0.8750
0.0000 0.5000 0.5000
0.5000 0.5000 0.0000
0.0000 0.0000 0.0000
0.2500 0.3750 0.6250
0.7500 0.6250 0.3750
0.5000 0.0000 0.0000
0.0000 0.0000 0.5000
0.6250 0.8750 0.2500
0.0000 0.5000 0.0000
0.6250 0.7500 0.8750
0.8750 0.1250 0.2500
0.7500 0.3750 0.1250
0.3750 0.7500 0.6250
0.6250 0.3750 0.7500
0.2500 0.1250 0.3750
0.3750 0.6250 0.2500
0.7500 0.8750 0.6250
0.6250 0.2500 0.3750
0.1250 0.8750 0.7500
0.2500 0.6250 0.8750
0.1250 0.2500 0.8750
0.8750 0.7500 0.1250
```

=====

Entry 5:
Entry from Alexandria: a relaxed Cs3LiTl crystal (GGA-PBE).

Results
- E: -1.156 eV per atom
- Density of states at the Fermi level: 5.75 states/eV/f.u.
- Theoretical density: 2.44 g/cm³
- ΔH_f (0 K): 0.213 eV per atom
- E above lowest polymorph: 0.0 meV per atom
- V: 415 Å³/cell

```
Cs3LiTl
1.0
7.4603 0.0000 0.0000
0.0000 7.4603 0.0000
0.0000 0.0000 7.4603
Cs Li Tl
3 1 1
Direct
0.5000 0.0000 0.0000
0.0000 0.5000 0.0000
0.0000 0.0000 0.5000
0.5000 0.5000 0.5000
0.0000 0.0000 0.0000
```

=====

Entry 6:
Entry from Alexandria: a relaxed CaCd2F6 crystal (GGA-PBE).

Results
- E: -4.395 eV per atom
- Formation energy without anion corrections: -2.7220 eV/atom
- Density of states at the Fermi level: 0.00 states/eV/f.u.
- Theoretical density: 4.13 g/cm³
- E above lowest polymorph: 43.5 meV per atom
- V: 305 Å³/cell

```
CaCd2F6
1.0
-3.9251 3.8792 2.4787
-3.9071 -3.3182 -0.9939
1.5150 -4.3284 8.4949
F Cd Ca
12 4 2
Direct
0.6669 0.1904 0.5022
0.8300 0.7755 0.3262
0.8331 0.6904 0.9978
0.1700 0.2245 0.6738
0.1669 0.3096 0.0022
0.3316 0.7301 0.1690
0.1684 0.2301 0.3310
0.6700 0.2755 0.1738
0.6684 0.2699 0.8310
0.3331 0.8096 0.4978
0.3300 0.7245 0.8262
0.8316 0.7699 0.6690
0.5023 0.9954 0.6864
0.9977 0.4954 0.8136
0.4977 0.0046 0.3136
0.0023 0.5046 0.1864
0.5000 0.5000 0.0000
0.0000 0.0000 0.5000
```

=====

Entry 7:
Entry from Alexandria: a relaxed Tb2SmHo3Sb6 crystal (GGA-PBE).

Results
- E: -5.506 eV per atom
- Formation energy without anion corrections: -1.1350 eV/atom
- Density of states at the Fermi level: 1.91 states/eV/f.u.
- Theoretical density: 7.80 g/cm³
- V: 360 Å³/cell

```
Tb2SmHo3Sb6
1.0
-1.9474 3.8606 -0.7956
-7.7355 -3.4025 2.4239
4.5033 1.5403 8.5992
Sb Sm Tb Ho
6 1 2 3
Direct
0.6685 0.0825 0.3369
0.3339 0.4156 0.6679
0.6661 0.5844 0.3321
0.0001 0.7454 0.0003
0.3315 0.9175 0.6631
0.9999 0.2546 0.9997
0.5000 0.0000 0.0000
0.1671 0.3334 0.3341
0.8329 0.6666 0.6659
0.1661 0.8327 0.3322
0.5000 0.5000 0.0000
0.8339 0.1673 0.6678
```

=====

Entry 8:
Entry from Alexandria: a relaxed VFeNi3 crystal (GGA-PBE).

Results
- E: -5.947 eV per atom
- Density of states at the Fermi level: 8.05 states/eV/f.u.
- Theoretical density: 6.18 g/cm³
- ΔH_f (0 K): 1.038 eV per atom
- E above lowest polymorph: 942.3 meV per atom
- V: 76 Å³/cell

```
VFeNi3
1.0
4.2364 0.0000 0.0000
0.0000 4.2364 0.0000
0.0000 0.0000 4.2364
Ni V Fe
3 1 1
Direct
0.0000 0.0000 0.5000
0.5000 0.0000 0.0000
0.0000 0.5000 0.0000
0.5000 0.5000 0.5000
0.0000 0.0000 0.0000
```

=====

Entry 9:
Entry from Alexandria: a relaxed Dy2HoTm5Mg crystal (GGA-PBE).

Results
- E: -4.082 eV per atom
- Density of states at the Fermi level: 12.89 states/eV/f.u.
- Theoretical density: 8.24 g/cm³
- ΔH_f (0 K): 0.111 eV per atom
- V: 548 Å³/cell

```
Dy2HoTm5Mg
1.0
-2.3880 -2.5685 -4.0302
1.5300 -7.2043 7.2259
-9.2005 2.1438 4.0854
Tm Ho Dy Mg
10 2 4 2
Direct
0.2893 0.5786 0.7084
0.7110 0.4219 0.8081
0.3828 0.7657 0.0084
0.6172 0.2343 0.5084
0.7107 0.4214 0.2084
0.0129 0.0258 0.0084
0.9871 0.9742 0.5084
0.4998 0.9996 0.7580
0.2890 0.5781 0.3081
0.5002 0.0004 0.2580
0.2062 0.4124 0.0083
0.7938 0.5876 0.5083
0.1150 0.2300 0.7215
0.8850 0.7700 0.2215
0.8850 0.7699 0.7954
0.1150 0.2301 0.2954
0.4047 0.8093 0.5075
0.5953 0.1907 0.0075
```

=====

Entry 10:
Entry from Alexandria: a relaxed CsRb2ZrBr8 crystal (GGA-PBE).

Results
- E: -3.546 eV per atom
- Formation energy without anion corrections: -1.4858 eV/atom
- Density of states at the Fermi level: 1.53 states/eV/f.u.
- Theoretical density: 3.75 g/cm³
- V: 458 Å³/cell

```
CsRb2ZrBr8
1.0
7.6071 -0.0105 0.0034
0.0028 6.1075 0.8963
-0.0175 1.4451 10.0766
Br Rb Cs Zr
8 2 1 1
Direct
0.0011 0.6526 0.2264
0.2476 0.1838 0.1173
0.7524 0.8162 0.8827
0.7534 0.1833 0.1179
0.2466 0.8167 0.8821
0.9989 0.3474 0.7736
0.5000 0.2455 0.4982
0.5000 0.7545 0.5018
0.5003 0.6574 0.1882
0.4997 0.3426 0.8118
0.0000 0.0000 0.5000
0.0000 0.0000 0.0000
```

=====

Entry 11:
Entry from Alexandria: a relaxed Li2LuIn crystal (GGA-PBE).

Results
- E: -2.865 eV per atom
- Density of states at the Fermi level: 1.96 states/eV/f.u.
- Theoretical density: 5.80 g/cm³
- ΔH_f (0 K): -0.093 eV per atom
- E above lowest polymorph: 149.1 meV per atom
- V: 87 Å³/cell

```
Li2LuIn
1.0
3.6380 0.0000 0.0000
0.0000 3.6380 0.0000
0.0000 0.0000 6.5736
Li Lu In
2 1 1
Direct
0.0000 0.0000 0.2152
0.0000 0.0000 0.7848
0.5000 0.5000 0.5000
0.5000 0.5000 0.0000
```

=====

Entry 12:
Entry from Alexandria: a relaxed CeYPtAu crystal (GGA-PBE).

Results
- E: -6.417 eV per atom
- Density of states at the Fermi level: 5.79 states/eV/f.u.
- Theoretical density: 10.76 g/cm³
- ΔH_f (0 K): -0.988 eV per atom
- E above lowest polymorph: 0.0 meV per atom
- V: 96 Å³/cell

```
CeYPtAu
1.0
3.8262 0.0000 0.0000
0.0000 4.4596 0.0000
-1.9131 0.0000 5.6163
Ce Au Y Pt
1 1 1 1
Direct
0.8656 0.5000 0.7312
0.5878 0.5000 0.1755
0.1425 0.0000 0.2849
0.4042 0.0000 0.8084
```

=====

Entry 13:
Entry from Alexandria: a relaxed ZnSi2Br crystal (GGA-PBE).

Results
- E: -2.988 eV per atom
- Formation energy without anion corrections: 0.4605 eV/atom
- Density of states at the Fermi level: 2.01 states/eV/f.u.
- Theoretical density: 3.78 g/cm³
- E above lowest polymorph: 395.2 meV per atom
- V: 88 Å³/cell

```
ZnSi2Br
1.0
6.8154 0.0000 0.0000
0.0000 3.6033 0.0000
0.0000 0.0000 3.6033
Zn Si Br
1 2 1
Direct
0.5000 0.5000 0.0000
0.0000 0.0000 0.0000
0.0000 0.5000 0.5000
0.5000 0.0000 0.5000
```

=====

Entry 14:
Entry from Alexandria: a relaxed Cs2KZn2 crystal (GGA-PBE).

Results
- E: -0.836 eV per atom
- Density of states at the Fermi level: 5.50 states/eV/f.u.
- Theoretical density: 2.75 g/cm³
- ΔH_f (0 K): 0.235 eV per atom
- E above lowest polymorph: 106.4 meV per atom
- V: 526 Å³/cell

```
Cs2KZn2
1.0
-7.7715 -7.3373 -1.9942
1.3881 -4.1727 9.9434
-3.0611 2.8061 1.6049
Cs K Zn
4 2 4
Direct
0.3557 0.8557 0.0000
0.6443 0.1443 0.0000
0.1443 0.3557 0.0000
0.8557 0.6443 0.0000
0.5000 0.5000 0.0000
0.0000 0.0000 0.0000
0.8542 0.3542 0.5000
0.3542 0.1458 0.5000
0.1458 0.6458 0.5000
0.6458 0.8542 0.5000
```

=====

Entry 15:
Entry from Alexandria: a relaxed Li2TlCd2Hg2 crystal (GGA-PBE).

Results
- E: -1.381 eV per atom
- Density of states at the Fermi level: 1.79 states/eV/f.u.
- Theoretical density: 8.98 g/cm³
- ΔH_f (0 K): -0.148 eV per atom
- V: 156 Å³/cell

```
Li2TlCd2Hg2
1.0
-1.6273 4.5021 -1.6045
-3.6050 2.4397 2.5580
3.2005 5.5013 4.2462
Li Cd Tl Hg
2 2 1 2
Direct
0.1367 0.1367 0.5900
0.8633 0.8633 0.4100
0.5697 0.5697 0.2910
0.4303 0.4303 0.7090
0.0000 0.0000 0.0000
0.7345 0.7345 0.7965
0.2655 0.2655 0.2035
```

=====

Entry 16:
Entry from Alexandria: a relaxed BeRe2Sb crystal (GGA-PBE).

Results
- E: -7.551 eV per atom
- Formation energy without anion corrections: 0.6354 eV/atom
- Density of states at the Fermi level: 4.35 states/eV/f.u.
- Theoretical density: 13.97 g/cm³
- E above lowest polymorph: 459.9 meV per atom
- V: 60 Å³/cell

```
BeRe2Sb
1.0
-1.2817 -1.3922 -2.6008
2.5787 -3.4110 0.5550
-2.9984 -1.8640 2.4754
Re Be Sb
2 1 1
Direct
0.0000 0.5000 0.5000
0.0000 0.0000 0.0000
0.5000 0.0000 0.5000
0.5000 0.5000 0.0000
```

=====

Entry 17:
Entry from Alexandria: a relaxed CaRe2Tc crystal (GGA-PBE).

Results
- E: -8.638 eV per atom
- Density of states at the Fermi level: 4.24 states/eV/f.u.
- Theoretical density: 12.84 g/cm³
- ΔH_f (0 K): 0.678 eV per atom
- E above lowest polymorph: 214.8 meV per atom
- V: 66 Å³/cell

```
CaRe2Tc
1.0
3.1156 0.0000 0.0000
0.0000 4.4947 0.0000
0.0000 0.0000 4.7130
Ca Re Tc
1 2 1
Direct
0.0000 0.5000 0.5000
0.5000 0.5000 0.0000
0.0000 0.0000 0.0000
0.5000 0.0000 0.5000
```

=====

Entry 18:
Entry from Alexandria: a relaxed YSN2F crystal (GGA-PBE).

Results
- E: -5.988 eV per atom
- Formation energy without anion corrections: -0.1654 eV/atom
- Density of states at the Fermi level: 1.25 states/eV/f.u.
- Theoretical density: 4.79 g/cm³
- E above lowest polymorph: 0.0 meV per atom
- V: 58 Å³/cell

```
YSN2F
1.0
3.7986 0.0000 0.0000
0.0000 3.7986 0.0000
0.0000 0.0000 4.0376
F N Y S
1 2 1 1
Direct
0.0000 0.0000 0.5000
0.0000 0.5000 0.0000
0.5000 0.0000 0.0000
0.5000 0.5000 0.5000
0.0000 0.0000 0.0000
```

=====

Entry 19:
Entry from Alexandria: a relaxed HIrSCl2 crystal (GGA-PBE).

Results
- E: -2.904 eV per atom
- Density of states at the Fermi level: 5.99 states/eV/f.u.
- Theoretical density: 6.62 g/cm³
- E above lowest polymorph: 581.5 meV per atom
- V: 74 Å³/cell

```
HIrSCl2
1.0
-1.3153 -4.5706 1.1558
2.7248 -1.7162 -3.6860
2.4378 -0.2199 1.9045
Cl Ir S H
2 1 1 1
Direct
0.5000 0.0000 0.0000
0.0000 0.5000 0.0000
0.5000 0.5000 0.5000
0.0000 0.0000 0.5000
0.0000 0.0000 0.0000
```

=====

Entry 20:
Entry from Alexandria: a relaxed La2NdHo3Te6 crystal (GGA-PBE).

Results
- E: -5.333 eV per atom
- Formation energy without anion corrections: -1.3990 eV/atom
- Density of states at the Fermi level: 6.50 states/eV/f.u.
- Theoretical density: 7.50 g/cm³
- V: 372 Å³/cell

```
La2NdHo3Te6
1.0
4.4000 0.0000 0.0000
0.0000 8.9865 0.1921
-2.2000 -2.7240 9.3623
La Te Nd Ho
2 6 1 3
Direct
0.8346 0.6697 0.6692
0.1654 0.3303 0.3308
0.6629 0.5923 0.3259
0.9950 0.2570 0.9901
0.3307 0.9294 0.6614
0.0050 0.7430 0.0099
0.6693 0.0706 0.3386
0.3371 0.4077 0.6741
0.5000 0.0000 0.0000
0.5000 0.5000 0.0000
0.1673 0.8327 0.3346
0.8327 0.1673 0.6654
```